Entry 1:
A plane-wave DFT calculation with PBE-GGA was carried out for crystalline Rb3TiSe4 at its relaxed geometry.

Lattice parameters (Å, degrees): 5.968 8.470 8.470 51.28 69.38 69.38
Element x y z (fractional)
Rb: 0.714 0.944 0.627
Se: 0.232 0.281 0.719
Rb: 0.286 0.373 0.056
Se: 0.768 0.281 0.719
Se: 0.644 0.556 0.156
Ti: 0.500 0.524 0.476
Se: 0.356 0.844 0.444
Rb: 0.000 0.848 0.152

Uncorrected energy in eV per atom: -4.205

Entry 2:
A plane-wave DFT calculation with PBE-GGA was carried out for crystalline AlTcMo2 at its relaxed geometry.

Lattice parameters (Å, degrees): 9.129 9.129 9.129 17.75 17.75 17.75
Element x y z (fractional)
Tc: 0.250 0.250 0.250
Mo: 0.501 0.501 0.501
Mo: 0.999 0.999 0.999
Al: 0.750 0.750 0.750

DFT formation energy in eV/atom: 0.05
Uncorrected energy in eV per atom: -8.889

Which of these has the lowest uncorrected energy? AlTcMo2

Look up the uncorrected energy of the second one. -8.889 eV per atom